Entry 1:
{
  "formula": "PmAl2Ge",
  "functional": "PBE",
  "state": "optimized geometry",
  "lattice_angstrom": [[2.9397, -3.4578, 0.0000], [2.9397, 3.4578, 0.0000], [0.0000, 0.0000, 4.5291]],
  "species": ["Pm", "Al", "Al", "Ge"],
  "frac_coords": [[0.0000, 0.0000, 0.0000], [0.3039, 0.6961, 0.5000], [0.6961, 0.3039, 0.5000], [0.5000, 0.5000, 0.0000]],
  "total_energy_ev_per_atom": -4.42,
  "sg": "Cmmm (65)",
  "volume_a3_per_cell": 92.1
}

***

Entry 2:
{
  "formula": "Ti2CuBi2",
  "functional": "PBE",
  "state": "optimized geometry",
  "lattice_angstrom": [[7.2394, 0.0000, 0.0000], [0.0000, 7.2394, 0.0000], [0.0000, 0.0000, 4.0081]],
  "species": ["Ti", "Ti", "Ti", "Ti", "Cu", "Cu", "Bi", "Bi", "Bi", "Bi"],
  "frac_coords": [[0.1399, 0.3601, 0.0000], [0.3601, 0.8601, 0.0000], [0.6399, 0.1399, 0.0000], [0.8601, 0.6399, 0.0000], [0.0000, 0.0000, 0.0000], [0.5000, 0.5000, 0.0000], [0.1655, 0.6655, 0.5000], [0.3345, 0.1655, 0.5000], [0.6655, 0.8345, 0.5000], [0.8345, 0.3345, 0.5000]],
  "total_energy_ev_per_atom": -5.45,
  "sg": "P4/mbm (127)",
  "volume_a3_per_cell": 210.1
}

***

Entry 3:
{
  "formula": "Sr2MnHg",
  "functional": "PBE",
  "state": "optimized geometry",
  "lattice_angstrom": [[4.8218, 0.0000, 0.0000], [0.0000, 2.2963, 6.0262], [0.0000, -2.2963, 6.0262]],
  "species": ["Sr", "Sr", "Mn", "Hg"],
  "frac_coords": [[0.0000, 0.0000, 0.0000], [0.5000, 0.2926, 0.2926], [0.0000, 0.7016, 0.7016], [0.5000, 0.5828, 0.5828]],
  "total_energy_ev_per_atom": -3.18,
  "sg": "Amm2 (38)",
  "volume_a3_per_cell": 133.4
}